! SrMgCr2F8 PBE+U relaxed; values from VASP
! E (Ha/atom): -0.209
&SYSTEM
  ibrav = 0, nat = 12, ntyp = 4
/
ATOMIC_SPECIES
Sr 87.62 Sr.upf
Mg 24.30 Mg.upf
Cr 52.00 Cr.upf
F 19.00 F.upf
ATOMIC_POSITIONS angstrom
Sr 0.0000 0.0000 0.0000
Mg 0.0000 0.0000 3.2529
Cr 0.0000 3.5847 1.5975
Cr 3.1044 1.7923 4.9083
F 0.0000 1.5434 1.9757
F -1.7677 4.6053 1.9757
F 1.3367 0.7717 4.5301
F 0.0000 3.5847 6.2028
F 3.1044 1.7923 0.3031
F 1.7677 4.6053 1.9757
F 4.8722 0.7717 4.5301
F 3.1044 3.8335 4.5301
CELL_PARAMETERS angstrom
6.2088 0.0000 0.0000
-3.1044 5.3770 0.0000
0.0000 0.0000 6.5058